VASP calculation (PBE-GGA) on PrNd2Ni2B2P3 after structural relaxation.

- Total energy: -6.36 eV per atom
- Space-group type: I4/mmm (139)

Unit cell a=11.236 b=11.236 c=11.236 alpha=159.15 beta=159.15 gamma=29.65
Sites, in units of the cell vectors:
Pr 0.000 0.000 0.000
Nd 0.360 0.360 0.000
Nd 0.640 0.640 0.000
Ni 0.250 0.750 0.500
Ni 0.750 0.250 0.500
B 0.221 0.221 0.000
B 0.779 0.779 0.000
P 0.131 0.131 0.000
P 0.500 0.500 0.000
P 0.869 0.869 0.000